A plane-wave DFT calculation with meta-GGA SCAN was carried out for AlTeCN2 at its PBEsol-relaxed geometry.

Calculated values
The calculation puts the mass density at 3.97 Mg/m³. The calculation puts the raw formation energy at 1.56 eV/atom. The calculation puts the calculated volume at 16.299 Å³/atom. As for the density of states at the Fermi level: 2.31 states/eV per cell. As for the total energy: -13.17 eV per atom.

a b c (Å): 3.5070 3.5070 6.6259
angles (deg): 90.00 90.00 90.00
Space group P4/mmm (No. 123)
Asymmetric unit:
Al1 0.0000 0.0000 0.0000 x1
Te1 0.0000 0.0000 0.5000 x1
C1 0.5000 0.5000 0.5000 x1
N1 0.0000 0.5000 0.0000 x2